Here is an optimized crystal structure of LiTaCu2 from Alexandria via LeMat-Bulk. Energies are from PBEsol.

Properties
Volume (Å³/cell): 56
Size of the total moment (μB/atom): 0.000
E_form (eV/atom): 0.166

Cell lengths 4.980, 4.980, 4.623 Å; angles 103.75, 103.75, 29.98 degrees
Fractional positions:
Li 0.000 0.000 0.000
Ta 0.793 0.793 0.372
Cu 0.241 0.241 0.850
Cu 0.542 0.542 0.523